First-principles (PBE) data for crystalline AgRhAu2 at its relaxed geometry, as listed in the Alexandria database.

```
4
Lattice="-0.903 -3.036 3.919 -0.803 -4.707 1.609 4.681 -1.292 1.137" Properties=species:S:1:pos:R:3 pbc="T T T"
Au 2.948 -9.025 6.657
Au 0.805 -2.240 1.656
Ag 2.229 -6.804 5.019
Rh 1.453 -4.518 3.332
```

Summary:
* spin magnetization: 0.43 μB per formula unit
* energy relative to the elements: 0.11 eV/atom